No. 1
GaSeF: relaxed, PBE.

```
GaSeF
1.0
-0.2752 -0.2087 -3.8199
3.3215 -4.1787 -0.0110
-9.7022 -7.7147 1.1206
Se F Ga
4 4 4
direct
0.5000 0.3100 0.6467
0.0000 0.8100 0.8533
0.0000 0.1900 0.1467
0.5000 0.6900 0.3533
0.5000 0.7111 0.0791
0.0000 0.2111 0.4209
0.5000 0.2889 0.9209
0.0000 0.7889 0.5791
0.0000 0.9680 0.3205
0.5000 0.4680 0.1795
0.5000 0.5320 0.8205
0.0000 0.0320 0.6795
```

Summary:
Space-group type = Pnnm, No. 58
Raw formation energy = -1.443 eV per atom
Total moment = 0.00 μB/cell

=====

No. 2
GaSeF3: relaxed, PBE.

```
GaSeF3
1.0
-0.3683 1.9160 -3.6430
1.5990 -3.3037 -1.8992
-3.7929 -1.5788 -0.4469
F Se Ga
3 1 1
direct
0.0000 0.5000 0.0000
0.5000 0.0000 0.0000
0.0000 0.0000 0.5000
0.5000 0.5000 0.5000
0.0000 0.0000 0.0000
```

Summary:
Space-group type = Pm-3m, No. 221
Raw formation energy = -1.304 eV per atom
Total moment = 2.19 μB/cell

=====

No. 3
GaSe3F: relaxed, PBE.

```
GaSe3F
1.0
-2.8605 -2.1390 3.4085
0.7319 -4.3886 -2.1399
3.9569 -0.7346 2.8598
Se Ga F
3 1 1
direct
0.0000 0.0000 0.5000
0.5000 0.0000 0.0000
0.0000 0.5000 0.0000
0.0000 0.0000 0.0000
0.5000 0.5000 0.5000
```

Summary:
Space-group type = Pm-3m, No. 221
Raw formation energy = 0.306 eV per atom
Total moment = 0.00 μB/cell

=====

No. 4
GaSeF2: relaxed, PBE.

```
GaSeF2
1.0
1.6960 0.0000 9.3922
-0.8480 1.4688 9.3922
-0.8480 -1.4688 9.3922
F Se Ga
2 1 1
direct
0.9361 0.9361 0.9361
0.0639 0.0639 0.0639
0.5000 0.5000 0.5000
0.0000 0.0000 0.0000
```

Summary:
Space-group type = R-3m, No. 166
Raw formation energy = -0.887 eV per atom
Total moment = 0.41 μB/cell

=====

No. 5
YGaSeF2: relaxed, PBE.

```
YGaSeF2
1.0
-0.5939 -4.2626 -0.9850
2.8504 0.3770 -3.3504
4.2967 -1.4068 3.4972
F Ga Y Se
2 1 1 1
direct
0.0000 0.5000 0.0000
0.5000 0.0000 0.0000
0.5000 0.5000 0.5000
0.0000 0.0000 0.0000
0.0000 0.0000 0.5000
```

Summary:
Space-group type = P4/mmm, No. 123
Raw formation energy = -2.440 eV per atom
Total moment = 0.00 μB/cell

=====

No. 6
GaSiF: relaxed, PBE.

```
GaSiF
1.0
-0.6352 -2.5737 -0.7747
0.6307 -0.0022 4.5485
-8.5690 3.1736 1.3874
Ga Si F
2 2 2
direct
0.7007 0.2831 0.6062
0.2993 0.7169 0.3938
0.5045 0.2501 0.2867
0.4955 0.7499 0.7133
0.5820 0.7577 0.8914
0.4180 0.2423 0.1086
```

Summary:
Space-group type = P-1, No. 2
Raw formation energy = -0.940 eV per atom
Total moment = 0.00 μB/cell

=====

No. 7
GaSi2F: relaxed, PBE.

```
GaSi2F
1.0
4.1762 0.0000 0.0000
0.0000 4.1762 0.0000
2.0881 2.0881 7.7885
Si F Ga
4 2 2
direct
0.2114 0.6250 0.2500
0.5386 0.1250 0.2500
0.3750 0.4614 0.7500
0.8750 0.7886 0.7500
0.2500 0.7500 0.5000
0.5000 0.5000 0.0000
0.7500 0.2500 0.5000
0.0000 0.0000 0.0000
```

Summary:
Space-group type = I-42d, No. 122
Raw formation energy = -0.201 eV per atom
Total moment = 0.00 μB/cell

=====

No. 8
GaSi2F: relaxed, PBE.

```
GaSi2F
1.0
0.3340 -3.5244 2.5067
0.8291 0.4225 4.2368
-3.0880 -0.8897 2.9136
Si F Ga
2 1 1
direct
0.2500 0.2500 0.2500
0.7500 0.7500 0.7500
0.0000 0.0000 0.0000
0.5000 0.5000 0.5000
```

Summary:
Space-group type = Fm-3m, No. 225
Raw formation energy = -0.170 eV per atom
Total moment = 0.00 μB/cell

=====

Question: What is the raw formation energy in the second record?
Answer: -1.304 eV per atom

=====

Please write out number 3 again, unchanged.
GaSe3F: relaxed, PBE.

```
GaSe3F
1.0
-2.8605 -2.1390 3.4085
0.7319 -4.3886 -2.1399
3.9569 -0.7346 2.8598
Se Ga F
3 1 1
direct
0.0000 0.0000 0.5000
0.5000 0.0000 0.0000
0.0000 0.5000 0.0000
0.0000 0.0000 0.0000
0.5000 0.5000 0.5000
```

Summary:
Space-group type = Pm-3m, No. 221
Raw formation energy = 0.306 eV per atom
Total moment = 0.00 μB/cell

=====

Question: Which of these has the highest total moment?
Answer: GaSeF3